1.
Material: ScNb2Cu2
Method: DFT, PBE-GGA
State: relaxed

Output
As for the energy above the most stable polymorph in this dataset: 342 meV/atom. The formation energy comes out at 481.0 meV/atom. As for the symmetry: I4/mmm.

Lattice parameters (Å, degrees): 3.871 3.871 6.721 73.26 73.26 90.00
Positions (direct):
Sc1 0.000 0.000 0.000
Cu1 0.750 0.250 0.500
Cu2 0.250 0.750 0.500
Nb1 0.393 0.393 0.213
Nb2 0.607 0.607 0.787

2.
Material: ScNb2Cu2
Method: DFT, PBE-GGA
State: relaxed

Output
As for the energy above the most stable polymorph in this dataset: 61 meV/atom. The formation energy comes out at 200.7 meV/atom. As for the symmetry: P4/mbm.

Lattice parameters (Å, degrees): 7.894 7.894 2.743 90.00 90.00 90.00
Positions (direct):
Nb1 0.622 0.122 0.000
Nb2 0.378 0.878 0.000
Nb3 0.878 0.622 0.000
Nb4 0.122 0.378 0.000
Cu1 0.324 0.176 0.500
Cu2 0.676 0.824 0.500
Cu3 0.176 0.676 0.500
Cu4 0.824 0.324 0.500
Sc1 0.000 0.000 0.000
Sc2 0.500 0.500 0.000

3.
Material: ScNbCu
Method: DFT, PBE-GGA
State: relaxed

Output
As for the energy above the most stable polymorph in this dataset: 0 meV/atom. The formation energy comes out at -102.0 meV/atom. As for the symmetry: P4/nmm.

Lattice parameters (Å, degrees): 3.395 3.395 9.233 90.00 90.00 90.00
Positions (direct):
Cu1 0.372 0.791 0.326
Cu2 0.873 0.291 0.187
Nb1 0.873 0.291 0.828
Nb2 0.372 0.791 0.685
Sc1 0.373 0.791 0.031
Sc2 0.872 0.291 0.482

4.
Material: ScNb2Cu
Method: DFT, PBE-GGA
State: relaxed

Output
As for the energy above the most stable polymorph in this dataset: 31 meV/atom. The formation energy comes out at 397.1 meV/atom. As for the symmetry: I-42d.

Lattice parameters (Å, degrees): 3.825 3.825 10.637 79.64 79.64 90.00
Positions (direct):
Cu1 0.000 0.000 0.000
Cu2 0.750 0.250 0.500
Sc1 0.250 0.750 0.500
Sc2 0.500 0.500 0.000
Nb1 0.122 0.625 0.250
Nb2 0.628 0.125 0.250
Nb3 0.375 0.372 0.750
Nb4 0.875 0.878 0.750

5.
Material: ScNb2Cu
Method: DFT, PBE-GGA
State: relaxed

Output
As for the energy above the most stable polymorph in this dataset: 0 meV/atom. The formation energy comes out at 366.3 meV/atom. As for the symmetry: Fm-3m.

Lattice parameters (Å, degrees): 4.613 4.613 4.613 60.00 60.00 60.00
Positions (direct):
Cu1 0.500 0.500 0.500
Nb1 0.250 0.250 0.250
Nb2 0.750 0.750 0.750
Sc1 0.000 0.000 0.000

6.
Material: ScNbCu
Method: DFT, PBE-GGA
State: relaxed

Output
As for the energy above the most stable polymorph in this dataset: 92 meV/atom. The formation energy comes out at -9.6 meV/atom. As for the symmetry: I4mm.

Lattice parameters (Å, degrees): 3.047 3.047 6.099 104.47 104.47 90.00
Positions (direct):
Cu1 0.330 0.330 0.660
Nb1 0.679 0.679 0.358
Sc1 0.991 0.991 0.982

7.
Material: Sc2NbCu2
Method: DFT, PBE-GGA
State: relaxed

Output
As for the energy above the most stable polymorph in this dataset: 0 meV/atom. The formation energy comes out at -29.6 meV/atom. As for the symmetry: P4/mbm.

Lattice parameters (Å, degrees): 7.508 7.508 3.131 90.00 90.00 90.00
Positions (direct):
Sc1 0.673 0.827 0.500
Sc2 0.173 0.673 0.500
Sc3 0.827 0.327 0.500
Sc4 0.327 0.173 0.500
Cu1 0.878 0.622 0.000
Cu2 0.122 0.378 0.000
Cu3 0.622 0.122 0.000
Cu4 0.378 0.878 0.000
Nb1 0.500 0.500 0.000
Nb2 0.000 0.000 0.000

8.
Material: ScNbCu
Method: DFT, PBE-GGA
State: relaxed

Output
As for the energy above the most stable polymorph in this dataset: 90 meV/atom. The formation energy comes out at -11.8 meV/atom. As for the symmetry: P4/mmm.

Lattice parameters (Å, degrees): 4.342 3.068 11.265 90.00 90.00 135.04
Positions (direct):
Sc1 0.694 0.389 0.661
Sc2 0.694 0.389 0.339
Cu1 0.694 0.389 0.000
Cu2 0.194 0.389 0.500
Nb1 0.194 0.389 0.149
Nb2 0.194 0.389 0.851

9.
Material: Sc2NbCu2
Method: DFT, PBE-GGA
State: relaxed

Output
As for the energy above the most stable polymorph in this dataset: 102 meV/atom. The formation energy comes out at 72.4 meV/atom. As for the symmetry: P4/mbm.

Lattice parameters (Å, degrees): 7.596 7.596 3.022 90.00 90.00 90.00
Positions (direct):
Sc1 0.656 0.156 0.000
Sc2 0.344 0.844 0.000
Sc3 0.844 0.656 0.000
Sc4 0.156 0.344 0.000
Nb1 0.500 0.500 0.000
Nb2 0.000 0.000 0.000
Cu1 0.360 0.140 0.500
Cu2 0.140 0.640 0.500
Cu3 0.640 0.860 0.500
Cu4 0.860 0.360 0.500

10.
Material: ScNb2Cu2
Method: DFT, PBE-GGA
State: relaxed

Output
As for the energy above the most stable polymorph in this dataset: 0 meV/atom. The formation energy comes out at 139.3 meV/atom. As for the symmetry: P4/mbm.

Lattice parameters (Å, degrees): 7.400 7.400 3.070 90.00 90.00 90.00
Positions (direct):
Cu1 0.120 0.380 0.000
Cu2 0.620 0.120 0.000
Cu3 0.880 0.620 0.000
Cu4 0.380 0.880 0.000
Nb1 0.175 0.675 0.500
Nb2 0.325 0.175 0.500
Nb3 0.675 0.825 0.500
Nb4 0.825 0.325 0.500
Sc1 0.000 0.000 0.000
Sc2 0.500 0.500 0.000

11.
Material: Sc4NbCu2
Method: DFT, PBE-GGA
State: relaxed

Output
The formation energy comes out at 535.4 meV/atom. As for the symmetry: I4/mmm.

Lattice parameters (Å, degrees): 5.031 5.031 7.409 70.15 70.15 90.00
Positions (direct):
Sc1 0.798 0.798 0.404
Sc2 0.500 0.000 0.000
Sc3 0.202 0.202 0.596
Sc4 0.000 0.500 0.000
Cu1 0.597 0.597 0.806
Cu2 0.403 0.403 0.194
Nb1 0.000 0.000 0.000

12.
Material: ScNbCu2Si
Method: DFT, PBE-GGA
State: relaxed

Output
As for the symmetry: P4/mmm. For the uncorrected formation energy, the calculation gives 0.669 eV per atom.

Lattice parameters (Å, degrees): 4.687 4.769 4.687 90.00 90.00 90.00
Positions (direct):
Nb1 0.000 0.000 0.000
Cu1 0.000 0.000 0.500
Cu2 0.500 0.000 0.000
Si1 0.000 0.500 0.000
Sc1 0.500 0.500 0.500

13.
Material: Sc2TaNbCu
Method: DFT, PBE-GGA
State: relaxed

Output
The formation energy comes out at 1175.2 meV/atom. As for the symmetry: P4/mmm.

Lattice parameters (Å, degrees): 5.068 4.869 5.068 90.00 90.00 90.00
Positions (direct):
Sc1 0.000 0.000 0.500
Sc2 0.500 0.000 0.000
Ta1 0.000 0.500 0.000
Nb1 0.000 0.000 0.000
Cu1 0.500 0.500 0.500

14.
Material: ScNbCuTc
Method: DFT, PBE-GGA
State: relaxed

Output
The formation energy comes out at -153.5 meV/atom. As for the symmetry: F-43m.

Lattice parameters (Å, degrees): 4.527 4.527 4.527 60.00 60.00 60.00
Positions (direct):
Tc1 0.000 0.000 0.000
Nb1 0.750 0.750 0.750
Sc1 0.250 0.250 0.250
Cu1 0.500 0.500 0.500

15.
Material: ScNbVCu2
Method: DFT, PBE-GGA
State: relaxed

Output
The formation energy comes out at 961.8 meV/atom. As for the symmetry: P4/mmm.

Lattice parameters (Å, degrees): 4.791 4.454 4.791 90.00 90.00 90.00
Positions (direct):
Nb1 0.000 0.000 0.000
Cu1 0.500 0.000 0.000
Cu2 0.000 0.000 0.500
Sc1 0.500 0.500 0.500
V1 0.000 0.500 0.000

16.
Material: Sc2NbVCu
Method: DFT, PBE-GGA
State: relaxed

Output
The formation energy comes out at 837.9 meV/atom. As for the symmetry: P4/mmm.

Lattice parameters (Å, degrees): 4.930 4.547 4.930 90.00 90.00 90.00
Positions (direct):
Nb1 0.000 0.500 0.000
Sc1 0.000 0.000 0.500
Sc2 0.500 0.000 0.000
V1 0.000 0.000 0.000
Cu1 0.500 0.500 0.500

17.
Material: NbCuSe4
Method: DFT, PBE-GGA
State: relaxed

Output
As for the symmetry: C2/c. For the uncorrected formation energy, the calculation gives -0.313 eV per atom.

Lattice parameters (Å, degrees): 6.250 7.995 7.522 122.10 106.83 90.00
Positions (direct):
Cu1 0.000 0.500 0.500
Cu2 0.500 0.000 0.500
Se1 0.198 0.716 0.172
Se2 0.271 0.988 0.706
Se3 0.729 0.012 0.294
Se4 0.802 0.284 0.828
Se5 0.229 0.281 0.294
Se6 0.698 0.457 0.172
Se7 0.771 0.719 0.706
Se8 0.302 0.543 0.828
Nb1 0.750 0.685 0.000
Nb2 0.250 0.315 0.000

18.
Material: NbCuSe3
Method: DFT, PBE-GGA
State: relaxed

Output
As for the energy above the most stable polymorph in this dataset: 0 meV/atom. As for the symmetry: C2/m. For the uncorrected formation energy, the calculation gives -0.431 eV per atom.

Lattice parameters (Å, degrees): 3.825 7.356 8.170 94.83 103.54 90.00
Positions (direct):
Nb1 0.201 0.246 0.402
Nb2 0.799 0.754 0.598
Se1 0.046 0.283 0.091
Se2 0.334 0.012 0.669
Se3 0.802 0.381 0.603
Se4 0.666 0.988 0.331
Se5 0.954 0.717 0.909
Se6 0.198 0.619 0.397
Cu1 0.527 0.841 0.053
Cu2 0.473 0.159 0.947

19.
Material: Nb3CuSe6
Method: DFT, PBE-GGA
State: relaxed

Output
As for the symmetry: Cmc2_1. For the uncorrected formation energy, the calculation gives -0.513 eV per atom.

Lattice parameters (Å, degrees): 6.257 8.153 8.153 101.15 90.00 90.00
Positions (direct):
Nb1 0.376 0.401 0.599
Nb2 0.981 0.061 0.256
Nb3 0.876 0.599 0.401
Nb4 0.981 0.744 0.939
Nb5 0.481 0.939 0.744
Nb6 0.481 0.256 0.061
Se1 0.176 0.701 0.637
Se2 0.236 0.471 0.904
Se3 0.236 0.096 0.529
Se4 0.676 0.299 0.363
Se5 0.132 0.051 0.949
Se6 0.736 0.904 0.471
Se7 0.736 0.529 0.096
Se8 0.157 0.769 0.231
Se9 0.176 0.363 0.299
Se10 0.632 0.949 0.051
Se11 0.657 0.231 0.769
Se12 0.676 0.637 0.701
Cu1 0.036 0.247 0.753
Cu2 0.536 0.753 0.247

20.
Material: Nb4CuSe8
Method: DFT, PBE-GGA
State: relaxed

Output
As for the symmetry: C2/m. For the uncorrected formation energy, the calculation gives -0.785 eV per atom.

Lattice parameters (Å, degrees): 13.690 13.690 6.063 77.35 77.35 14.75
Positions (direct):
Nb1 0.878 0.878 0.114
Nb2 0.377 0.377 0.633
Nb3 0.623 0.623 0.367
Nb4 0.122 0.122 0.886
Se1 0.316 0.316 0.351
Se2 0.058 0.058 0.282
Se3 0.684 0.684 0.649
Se4 0.560 0.560 0.766
Se5 0.813 0.813 0.854
Se6 0.187 0.187 0.146
Se7 0.942 0.942 0.718
Se8 0.440 0.440 0.234
Cu1 0.000 0.000 0.000

21.
Material: Nb3Cu2Se6
Method: DFT, PBE-GGA
State: relaxed

Output
As for the symmetry: Cmc2_1. For the uncorrected formation energy, the calculation gives -0.704 eV per atom.

Lattice parameters (Å, degrees): 9.349 9.349 13.821 90.00 90.00 158.22
Positions (direct):
Cu1 0.281 0.719 0.037
Cu2 0.719 0.281 0.537
Cu3 0.947 0.053 0.462
Cu4 0.053 0.947 0.962
Se1 0.393 0.607 0.130
Se2 0.283 0.717 0.627
Se3 0.059 0.941 0.373
Se4 0.279 0.721 0.867
Se5 0.941 0.059 0.873
Se6 0.617 0.383 0.874
Se7 0.717 0.283 0.127
Se8 0.721 0.279 0.367
Se9 0.053 0.947 0.131
Se10 0.607 0.393 0.630
Se11 0.383 0.617 0.374
Se12 0.947 0.053 0.631
Nb1 0.609 0.391 0.250
Nb2 0.278 0.722 0.247
Nb3 0.391 0.609 0.750
Nb4 0.722 0.278 0.747
Nb5 0.944 0.056 0.253
Nb6 0.056 0.944 0.753

22.
Material: NbCu2Se4
Method: DFT, PBE-GGA
State: relaxed

Output
As for the symmetry: P-42m. For the uncorrected formation energy, the calculation gives -0.442 eV per atom.

Lattice parameters (Å, degrees): 5.640 5.771 5.771 90.00 90.00 90.00
Positions (direct):
Se1 0.762 0.750 0.750
Se2 0.238 0.250 0.750
Se3 0.238 0.750 0.250
Se4 0.762 0.250 0.250
Nb1 0.000 0.000 0.000
Cu1 0.000 0.000 0.500
Cu2 0.000 0.500 0.000

23.
Material: Nb2CuSe4
Method: DFT, PBE-GGA
State: relaxed

Output
As for the symmetry: P3m1. For the uncorrected formation energy, the calculation gives -0.718 eV per atom.

Lattice parameters (Å, degrees): 3.540 3.540 13.852 90.00 90.00 120.00
Positions (direct):
Se1 0.000 0.000 0.868
Se2 0.000 0.000 0.630
Se3 0.667 0.333 0.133
Se4 0.667 0.333 0.373
Nb1 0.667 0.333 0.748
Nb2 0.000 0.000 0.255
Cu1 0.000 0.000 0.036

24.
Material: NbCuSe3
Method: DFT, PBE-GGA
State: relaxed

Output
As for the energy above the most stable polymorph in this dataset: 635 meV/atom. As for the symmetry: Pm-3m. For the uncorrected formation energy, the calculation gives 0.203 eV per atom.

Lattice parameters (Å, degrees): 5.043 5.043 5.043 90.00 90.00 90.00
Positions (direct):
Se1 0.000 0.000 0.500
Se2 0.000 0.500 0.000
Se3 0.500 0.000 0.000
Cu1 0.500 0.500 0.500
Nb1 0.000 0.000 0.000

no.,calculated total energy (eV/atom)
1,-6.45
2,-6.73
3,-6.93
4,-7.24
5,-7.28
6,-6.84
7,-6.21
8,-6.84
9,-6.11
10,-6.79
11,-5.69
12,-5.33
13,-6.56
14,-7.87
15,-5.78
16,-6.35
17,-5.00
18,-5.36
19,-6.03
20,-6.34
21,-6.10
22,-5.04
23,-6.17
24,-4.72